Entry 1:
# Cs3H2F (PBE-GGA, relaxed)
data_Cs3H2F
_space_group_name_H-M_alt 'I m m m'
_space_group_IT_number 71
_space_group_name_Hall '-I 2 2'
_cell_length_a 4.444
_cell_length_b 6.302
_cell_length_c 13.385
_cell_angle_alpha 90.00
_cell_angle_beta 90.00
_cell_angle_gamma 90.00
loop_
_atom_site_label
_atom_site_type_symbol
_atom_site_fract_x
_atom_site_fract_y
_atom_site_fract_z
_atom_site_occupancy
Cs1 Cs 0.000 0.000 0.000 1
Cs2 Cs 0.000 0.000 0.340 1
H1 H 0.000 0.500 0.333 1
F1 F 0.000 0.500 0.000 1
# * total energy: -2.853 eV/atom
# * ρ: 3.7 g/cm³
# * Fermi-level density of states: 0.0 states/eV/cell

=====

Entry 2:
# Cs8H5F3 (PBE-GGA, relaxed)
data_Cs8H5F3
_space_group_name_H-M_alt 'R -3 m'
_space_group_IT_number 166
_space_group_name_Hall '-R 3 2"'
_cell_length_a 8.8761
_cell_length_b 8.8761
_cell_length_c 21.8178
_cell_angle_alpha 90.00
_cell_angle_beta 90.00
_cell_angle_gamma 120.00
loop_
_atom_site_label
_atom_site_type_symbol
_atom_site_fract_x
_atom_site_fract_y
_atom_site_fract_z
_atom_site_occupancy
Cs1 Cs 0.0000 0.0000 0.2467 1
Cs2 Cs 0.0050 0.5025 0.7525 1
H1 H 0.0000 0.0000 0.0000 1
H2 H 0.0000 0.0000 0.5000 1
H3 H 0.0000 0.5000 0.0000 1
F1 F 0.0000 0.5000 0.5000 1
# * total energy: -2.925 eV/atom
# * ρ: 3.8 g/cm³
# * Fermi-level density of states: 0.0 states/eV/cell

=====

Entry 3:
# CsHF2 (PBE-GGA, relaxed)
data_CsHF2
_space_group_name_H-M_alt 'I 41/a m d'
_space_group_IT_number 141
_cell_length_a 5.404
_cell_length_b 5.404
_cell_length_c 7.663
_cell_angle_alpha 90.00
_cell_angle_beta 90.00
_cell_angle_gamma 90.00
loop_
_space_group_symop_operation_xyz
'x,y,z'
'-x,-y,-z'
'-y+1/4,x+3/4,z+1/4'
'y+1/4,-x+3/4,-z+1/4'
'-x+1/2,-y,z+1/2'
'x+1/2,y,-z+1/2'
'y+1/4,-x+1/4,z+3/4'
'-y+1/4,x+1/4,-z+3/4'
'x,-y,-z'
'-x,y,z'
'-y+1/4,-x+1/4,-z+3/4'
'y+1/4,x+1/4,z+3/4'
'-x+1/2,y,-z+1/2'
'x+1/2,-y,z+1/2'
'y+1/4,x+3/4,-z+1/4'
'-y+1/4,-x+3/4,z+1/4'
'x+1/2,y+1/2,z+1/2'
'-x+1/2,-y+1/2,-z+1/2'
'-y+3/4,x+1/4,z+3/4'
'y+3/4,-x+1/4,-z+3/4'
'-x,-y+1/2,z'
'x,y+1/2,-z'
'y+3/4,-x+3/4,z+1/4'
'-y+3/4,x+3/4,-z+1/4'
'x+1/2,-y+1/2,-z+1/2'
'-x+1/2,y+1/2,z+1/2'
'-y+3/4,-x+3/4,-z+1/4'
'y+3/4,x+3/4,z+1/4'
'-x,y+1/2,-z'
'x,-y+1/2,z'
'y+3/4,x+1/4,-z+3/4'
'-y+3/4,-x+1/4,z+3/4'
loop_
_atom_site_label
_atom_site_type_symbol
_atom_site_fract_x
_atom_site_fract_y
_atom_site_fract_z
_atom_site_occupancy
Cs1 Cs 0.000 0.250 0.375 1
H1 H 0.000 0.250 0.875 1
F1 F 0.000 0.000 0.000 1
# * total energy: -3.597 eV/atom
# * ρ: 5.1 g/cm³
# * Fermi-level density of states: 0.0 states/eV/cell

=====

Entry 4:
# Cs3H2F (PBE-GGA, relaxed)
data_Cs3H2F
_space_group_name_H-M_alt 'I 4/m m m'
_space_group_IT_number 139
_space_group_name_Hall '-I 4 2'
_cell_length_a 4.449
_cell_length_b 4.449
_cell_length_c 18.896
_cell_angle_alpha 90.00
_cell_angle_beta 90.00
_cell_angle_gamma 90.00
loop_
_atom_site_label
_atom_site_type_symbol
_atom_site_fract_x
_atom_site_fract_y
_atom_site_fract_z
_atom_site_occupancy
Cs1 Cs 0.000 0.000 0.000 1
Cs2 Cs 0.000 0.000 0.337 1
H1 H 0.000 0.000 0.166 1
F1 F 0.000 0.000 0.500 1
# * total energy: -2.851 eV/atom
# * ρ: 3.7 g/cm³
# * Fermi-level density of states: 0.0 states/eV/cell

=====

Entry 5:
# Cs3HF2 (PBE-GGA, relaxed)
data_Cs3HF2
_space_group_name_H-M_alt 'I 4/m m m'
_space_group_IT_number 139
_space_group_name_Hall '-I 4 2'
_cell_length_a 4.375
_cell_length_b 4.375
_cell_length_c 18.576
_cell_angle_alpha 90.00
_cell_angle_beta 90.00
_cell_angle_gamma 90.00
loop_
_atom_site_label
_atom_site_type_symbol
_atom_site_fract_x
_atom_site_fract_y
_atom_site_fract_z
_atom_site_occupancy
Cs1 Cs 0.000 0.000 0.000 1
Cs2 Cs 0.000 0.000 0.331 1
H1 H 0.000 0.000 0.500 1
F1 F 0.000 0.000 0.167 1
# * total energy: -3.431 eV/atom
# * ρ: 4.1 g/cm³
# * Fermi-level density of states: 0.0 states/eV/cell

=====

Entry 6:
# CsH5F4 (PBE-GGA, relaxed)
data_CsH5F4
_space_group_name_H-M_alt 'P m m n'
_space_group_IT_number 59
_cell_length_a 6.167
_cell_length_b 6.907
_cell_length_c 6.516
_cell_angle_alpha 90.00
_cell_angle_beta 90.00
_cell_angle_gamma 90.00
loop_
_space_group_symop_operation_xyz
'x,y,z'
'-x,-y,-z'
'-x+1/2,-y+1/2,z'
'x+1/2,y+1/2,-z'
'x+1/2,-y,-z'
'-x+1/2,y,z'
'-x,y+1/2,-z'
'x,-y+1/2,z'
loop_
_atom_site_label
_atom_site_type_symbol
_atom_site_fract_x
_atom_site_fract_y
_atom_site_fract_z
_atom_site_occupancy
Cs1 Cs 0.250 0.250 0.074 1
H1 H 0.002 0.572 0.494 1
H2 H 0.250 0.750 0.832 1
F1 F 0.006 0.250 0.521 1
F2 F 0.250 0.584 0.836 1
# * total energy: -3.601 eV/atom
# * ρ: 2.6 g/cm³
# * Fermi-level density of states: 0.0 states/eV/cell

=====

Entry 7:
# Cs2HF3 (PBE-GGA, relaxed)
data_Cs2HF3
_space_group_name_H-M_alt 'P 1 21/m 1'
_space_group_IT_number 11
_space_group_name_Hall '-P 2yb'
_cell_length_a 6.241
_cell_length_b 8.151
_cell_length_c 6.698
_cell_angle_alpha 90.00
_cell_angle_beta 106.04
_cell_angle_gamma 90.00
loop_
_atom_site_label
_atom_site_type_symbol
_atom_site_fract_x
_atom_site_fract_y
_atom_site_fract_z
_atom_site_occupancy
Cs1 Cs 0.213 0.007 0.268 1
H1 H 0.210 0.750 0.594 1
F1 F 0.009 0.750 0.012 1
F2 F 0.021 0.750 0.529 1
F3 F 0.404 0.750 0.638 1
# * total energy: -4.113 eV/atom
# * ρ: 3.3 g/cm³
# * Fermi-level density of states: 0.0 states/eV/cell

=====

Entry 8:
# CsHF3 (PBE-GGA, relaxed)
data_CsHF3
_space_group_name_H-M_alt 'P 1 21/c 1'
_space_group_IT_number 14
_space_group_name_Hall '-P 2ybc'
_cell_length_a 6.000
_cell_length_b 7.078
_cell_length_c 10.089
_cell_angle_alpha 90.00
_cell_angle_beta 110.18
_cell_angle_gamma 90.00
loop_
_atom_site_label
_atom_site_type_symbol
_atom_site_fract_x
_atom_site_fract_y
_atom_site_fract_z
_atom_site_occupancy
Cs1 Cs 0.220 0.244 0.147 1
H1 H 0.191 0.736 0.145 1
F1 F 0.069 0.649 0.174 1
F2 F 0.325 0.663 0.605 1
F3 F 0.454 0.593 0.027 1
# * total energy: -3.820 eV/atom
# * ρ: 3.2 g/cm³
# * Fermi-level density of states: 0.0 states/eV/cell